The following is a PBE-GGA calculation of an optimized crystal structure of PaTcB3, from the Alexandria database.

Results
Fermi-level density of states = 4.1 states/eV per cell
Energy relative to the lowest polymorph listed for this composition = 0 meV/atom
Total magnetic moment = 0.00 Bohr magnetons per cell
DFT formation energy = -10.1 kcal/mol of atoms
Space-group type = Cmcm, No. 63

abc: 9.505 9.505 3.126
angles: 90.00 90.00 156.38
Atoms (fractional coordinates):
Pa: 0.074 0.926 0.750
Pa: 0.926 0.074 0.250
Tc: 0.203 0.797 0.250
Tc: 0.797 0.203 0.750
B: 0.322 0.678 0.250
B: 0.370 0.630 0.750
B: 0.475 0.525 0.750
B: 0.525 0.475 0.250
B: 0.630 0.370 0.250
B: 0.678 0.322 0.750

The following is a PBE-GGA calculation of an optimized crystal structure of Pa3Tc2B9, from the Alexandria database.

Results
Fermi-level density of states = 8.6 states/eV per cell
Total magnetic moment = 0.00 Bohr magnetons per cell
DFT formation energy = -7.7 kcal/mol of atoms
Space-group type = Immm, No. 71

abc: 7.994 7.994 7.994
angles: 157.70 119.60 65.22
Atoms (fractional coordinates):
Pa: 0.000 0.000 0.000
Pa: 0.268 0.268 0.000
Pa: 0.732 0.732 0.000
Tc: 0.322 0.500 0.822
Tc: 0.678 0.500 0.178
B: 0.040 0.361 0.679
B: 0.133 0.870 0.263
B: 0.318 0.639 0.679
B: 0.393 0.130 0.263
B: 0.500 0.000 0.500
B: 0.607 0.870 0.737
B: 0.682 0.361 0.321
B: 0.867 0.130 0.737
B: 0.960 0.639 0.321

The following is a PBE-GGA calculation of an optimized crystal structure of PaTcB4, from the Alexandria database.

Results
Fermi-level density of states = 7.9 states/eV per cell
Energy relative to the lowest polymorph listed for this composition = 1229 meV/atom
Total magnetic moment = 0.00 Bohr magnetons per cell
DFT formation energy = 12.8 kcal/mol of atoms
Space-group type = F-43m, No. 216

abc: 4.603 4.603 4.603
angles: 60.00 60.00 60.00
Atoms (fractional coordinates):
Pa: 0.000 0.000 0.000
Tc: 0.750 0.750 0.750
B: 0.404 0.404 0.404
B: 0.404 0.404 0.788
B: 0.404 0.788 0.404
B: 0.788 0.404 0.404

The following is a PBE-GGA calculation of an optimized crystal structure of PaTc2B4, from the Alexandria database.

Results
Fermi-level density of states = 5.5 states/eV per cell
Total magnetic moment = 0.00 Bohr magnetons per cell
DFT formation energy = -6.3 kcal/mol of atoms
Space-group type = C2/c, No. 15

abc: 6.379 6.379 5.638
angles: 108.34 108.34 52.00
Atoms (fractional coordinates):
Pa: 0.233 0.767 0.750
Pa: 0.767 0.233 0.250
Tc: 0.189 0.337 0.828
Tc: 0.337 0.189 0.328
Tc: 0.663 0.811 0.672
Tc: 0.811 0.663 0.172
B: 0.036 0.236 0.016
B: 0.236 0.036 0.516
B: 0.239 0.595 0.199
B: 0.405 0.761 0.301
B: 0.595 0.239 0.699
B: 0.761 0.405 0.801
B: 0.764 0.964 0.484
B: 0.964 0.764 0.984

The following is a PBE-GGA calculation of an optimized crystal structure of Pa3TcB7, from the Alexandria database.

Results
Fermi-level density of states = 15.8 states/eV per cell
Total magnetic moment = 0.00 Bohr magnetons per cell
DFT formation energy = -12.1 kcal/mol of atoms
Space-group type = Cmcm, No. 63

abc: 8.123 8.123 9.391
angles: 90.00 90.00 154.54
Atoms (fractional coordinates):
Pa: 0.107 0.893 0.560
Pa: 0.107 0.893 0.940
Pa: 0.248 0.752 0.250
Pa: 0.752 0.248 0.750
Pa: 0.893 0.107 0.060
Pa: 0.893 0.107 0.440
Tc: 0.051 0.949 0.250
Tc: 0.949 0.051 0.750
B: 0.276 0.724 0.536
B: 0.276 0.724 0.964
B: 0.367 0.633 0.653
B: 0.367 0.633 0.847
B: 0.457 0.543 0.250
B: 0.480 0.520 0.593
B: 0.480 0.520 0.907
B: 0.520 0.480 0.093
B: 0.520 0.480 0.407
B: 0.543 0.457 0.750
B: 0.633 0.367 0.153
B: 0.633 0.367 0.347
B: 0.724 0.276 0.036
B: 0.724 0.276 0.464

The following is a PBE-GGA calculation of an optimized crystal structure of Th2PaB, from the Alexandria database.

Results
Fermi-level density of states = 5.7 states/eV per cell
Total magnetic moment = 0.00 Bohr magnetons per cell
DFT formation energy = 7.6 kcal/mol of atoms
Space-group type = R-3m, No. 166

abc: 9.769 9.769 9.769
angles: 20.86 20.86 20.86
Atoms (fractional coordinates):
Th: 0.112 0.112 0.112
Th: 0.888 0.888 0.888
Pa: 0.000 0.000 0.000
B: 0.500 0.500 0.500

The following is a PBE-GGA calculation of an optimized crystal structure of ThPa2B6, from the Alexandria database.

Results
Fermi-level density of states = 6.5 states/eV per cell
Total magnetic moment = 0.00 Bohr magnetons per cell
DFT formation energy = -4.4 kcal/mol of atoms
Space-group type = Immm, No. 71

abc: 6.246 6.246 6.246
angles: 148.50 96.77 91.69
Atoms (fractional coordinates):
Th: 0.000 0.000 0.000
Pa: 0.350 0.850 0.500
Pa: 0.650 0.150 0.500
B: 0.060 0.308 0.753
B: 0.299 0.500 0.799
B: 0.445 0.692 0.753
B: 0.555 0.308 0.247
B: 0.701 0.500 0.201
B: 0.940 0.692 0.247

The following is a PBE-GGA calculation of an optimized crystal structure of ThPaB2, from the Alexandria database.

Results
Fermi-level density of states = 3.9 states/eV per cell
Total magnetic moment = 0.00 Bohr magnetons per cell
DFT formation energy = 0.9 kcal/mol of atoms
Space-group type = R-3m, No. 166

abc: 6.566 6.566 6.566
angles: 33.64 33.64 33.64
Atoms (fractional coordinates):
Th: 0.000 0.000 0.000
Pa: 0.500 0.500 0.500
B: 0.242 0.242 0.242
B: 0.758 0.758 0.758

The following is a PBE-GGA calculation of an optimized crystal structure of Pa2TiB, from the Alexandria database.

Results
Fermi-level density of states = 7.7 states/eV per cell
Total magnetic moment = 0.00 Bohr magnetons per cell
DFT formation energy = 7.8 kcal/mol of atoms
Space-group type = R-3m, No. 166

abc: 8.897 8.897 8.897
angles: 21.32 21.32 21.32
Atoms (fractional coordinates):
Pa: 0.107 0.107 0.107
Pa: 0.893 0.893 0.893
Ti: 0.000 0.000 0.000
B: 0.500 0.500 0.500

The following is a PBE-GGA calculation of an optimized crystal structure of TmPaB, from the Alexandria database.

Results
Fermi-level density of states = 16.3 states/eV per cell
Total magnetic moment = 0.00 Bohr magnetons per cell
DFT formation energy = 2.1 kcal/mol of atoms
Space-group type = Fddd, No. 70

abc: 7.988 7.155 6.682
angles: 70.43 57.56 52.01
Atoms (fractional coordinates):
Tm: 0.000 0.000 0.000
Tm: 0.000 0.000 0.500
Tm: 0.000 0.500 0.000
Tm: 0.500 0.000 0.000
Pa: 0.257 0.257 0.493
Pa: 0.493 0.493 0.257
Pa: 0.507 0.507 0.743
Pa: 0.743 0.743 0.507
B: 0.174 0.576 0.174
B: 0.424 0.826 0.424
B: 0.576 0.174 0.576
B: 0.826 0.424 0.826

The following is a PBE-GGA calculation of an optimized crystal structure of TmPa2B6, from the Alexandria database.

Results
Fermi-level density of states = 4.2 states/eV per cell
Total magnetic moment = 0.00 Bohr magnetons per cell
DFT formation energy = -14.0 kcal/mol of atoms
Space-group type = P6/mmm, No. 191

abc: 5.578 5.578 3.994
angles: 90.00 90.00 120.00
Atoms (fractional coordinates):
Tm: 0.000 0.000 0.000
Pa: 0.333 0.667 0.000
Pa: 0.667 0.333 0.000
B: 0.000 0.334 0.500
B: 0.000 0.666 0.500
B: 0.334 0.000 0.500
B: 0.334 0.334 0.500
B: 0.666 0.000 0.500
B: 0.666 0.666 0.500

The following is a PBE-GGA calculation of an optimized crystal structure of TmPa2B, from the Alexandria database.

Results
Fermi-level density of states = 6.5 states/eV per cell
Total magnetic moment = 0.00 Bohr magnetons per cell
DFT formation energy = 4.2 kcal/mol of atoms
Space-group type = R-3m, No. 166

abc: 9.677 9.677 9.677
angles: 20.17 20.17 20.17
Atoms (fractional coordinates):
Tm: 0.000 0.000 0.000
Pa: 0.113 0.113 0.113
Pa: 0.887 0.887 0.887
B: 0.500 0.500 0.500